No. 1
Compound: Li4YEr3S8
Source: Alexandria
Functional: PBE
Structure: relaxed

POSCAR file:
```
Li4YEr3S8
1.0
-0.011 3.495 6.946
-6.858 2.993 -1.517
1.172 -7.669 -0.491
Y Er S Li
1 3 8 4
direct
0.000 0.500 0.000
0.000 0.500 0.500
0.500 0.500 0.000
0.500 0.500 0.500
0.748 0.750 0.999
0.250 0.252 0.501
0.750 0.748 0.499
0.749 0.250 0.498
0.251 0.750 0.502
0.749 0.250 0.001
0.252 0.250 0.001
0.251 0.750 0.999
0.000 0.000 0.000
0.500 0.000 0.000
0.000 0.000 0.500
0.500 0.000 0.500
```

Summary:
ΔE_f (raw)	-1856.9	meV per atom
total energy	-5.659	eV per atom
calculated density	4.50	g/cm³

=====

No. 2
Compound: Li3Y2ErS6
Source: Alexandria
Functional: PBE
Structure: relaxed

POSCAR file:
```
Li3Y2ErS6
1.0
6.762 -0.001 0.001
-3.380 5.856 0.001
-1.128 -1.952 6.174
S Li Er Y
6 3 1 2
direct
0.083 0.414 0.250
0.586 0.917 0.750
0.414 0.083 0.250
0.917 0.586 0.750
0.752 0.752 0.250
0.248 0.248 0.750
0.166 0.834 0.500
0.500 0.500 0.500
0.834 0.166 0.500
0.000 0.000 0.000
0.333 0.667 0.000
0.667 0.333 0.000
```

Summary:
ΔE_f (raw)	-1854.0	meV per atom
total energy	-5.854	eV per atom
calculated density	3.79	g/cm³

=====

No. 3
Compound: LiYEr4S8
Source: Alexandria
Functional: PBE
Structure: relaxed

POSCAR file:
```
LiYEr4S8
1.0
-1.905 0.445 7.698
-0.934 -6.644 4.250
5.378 -1.958 5.542
S Er Li Y
8 4 1 1
direct
0.245 0.245 0.741
0.769 0.245 0.741
0.243 0.243 0.271
0.225 0.757 0.261
0.757 0.225 0.261
0.245 0.769 0.741
0.759 0.759 0.724
0.757 0.757 0.261
0.625 0.625 0.124
0.005 0.486 0.505
0.005 0.005 0.505
0.486 0.005 0.505
0.375 0.375 0.876
0.005 0.005 0.986
```

Summary:
ΔE_f (raw)	-1975.5	meV per atom
total energy	-6.236	eV per atom
calculated density	4.77	g/cm³

=====

No. 4
Compound: LiYErS3
Source: Alexandria
Functional: PBE
Structure: relaxed

POSCAR file:
```
LiYErS3
1.0
-2.970 -0.992 -2.120
4.832 -1.156 -6.228
-0.074 -7.485 3.606
S Li Y Er
6 2 2 2
direct
0.250 0.094 0.868
0.250 0.577 0.830
0.750 0.219 0.494
0.250 0.781 0.506
0.750 0.906 0.132
0.750 0.423 0.170
0.750 0.913 0.417
0.250 0.087 0.583
0.750 0.814 0.780
0.250 0.186 0.220
0.250 0.662 0.168
0.750 0.338 0.832
```

Summary:
ΔE_f (raw)	-1799.4	meV per atom
total energy	-6.020	eV per atom
calculated density	4.88	g/cm³

=====

No. 5
Compound: Li4Y3ErS8
Source: Alexandria
Functional: PBE
Structure: relaxed

POSCAR file:
```
Li4Y3ErS8
1.0
7.813 0.000 0.000
0.000 7.653 -0.122
-3.907 -3.903 5.525
Li Y S Er
4 3 8 1
direct
0.500 0.000 0.000
0.000 0.000 0.500
0.000 0.000 0.000
0.500 0.000 0.500
0.000 0.500 0.500
0.500 0.500 0.000
0.500 0.500 0.500
0.752 0.750 0.001
0.751 0.751 0.501
0.248 0.250 0.999
0.249 0.249 0.499
0.751 0.250 0.999
0.249 0.750 0.498
0.249 0.750 0.001
0.751 0.250 0.502
0.000 0.500 0.000
```

Summary:
ΔE_f (raw)	-1853.2	meV per atom
total energy	-5.893	eV per atom
calculated density	3.65	g/cm³

=====

No. 6
Compound: LiErZr2S4
Source: Alexandria
Functional: PBE
Structure: relaxed

POSCAR file:
```
LiErZr2S4
1.0
-3.111 -0.578 -1.879
0.878 -6.250 0.468
-3.563 2.005 5.284
Zr S Li Er
2 4 1 1
direct
0.000 0.500 0.500
0.500 0.000 0.500
0.000 0.240 0.751
0.500 0.243 0.248
0.000 0.760 0.249
0.500 0.757 0.752
0.000 0.000 0.000
0.500 0.500 0.000
```

Summary:
ΔE_f (raw)	-1624.2	meV per atom
total energy	-6.635	eV per atom
calculated density	5.45	g/cm³

=====

Values for total magnetization, μB per formula unit, ordered as above
0.00 0.00 0.00 0.00 0.00 0.00